(1)
First-principles (GGA-PBEsol) data for crystalline KMgHg2 at its relaxed geometry, as listed in Alexandria.

Values from the calculation:
The value obtained for the total magnetic moment is 0.00 μB per formula unit. For the formation energy, the calculation gives -0.16 eV per atom.

a b c (Å): 3.4296 4.6528 7.3608
angles (deg): 90.00 103.63 90.00
Atoms (fractional coordinates):
K 0.5489 0.0000 0.4715
Mg 0.2456 0.5000 0.8675
Hg 0.9208 0.5000 0.2159
Hg 0.7848 0.0000 0.9452

(2)
First-principles (GGA-PBEsol) data for crystalline KMg2Hg at its relaxed geometry, as listed in Alexandria.

Values from the calculation:
The value obtained for the total magnetic moment is 0.00 μB per formula unit. For the formation energy, the calculation gives 0.15 eV per atom.

a b c (Å): 3.2453 6.2992 6.2992
angles (deg): 117.67 90.00 90.00
Atoms (fractional coordinates):
Mg 0.0000 0.0000 0.5000
Mg 0.0000 0.5000 0.0000
Hg 0.5000 0.0000 0.0000
K 0.5000 0.5000 0.5000

(3)
First-principles (GGA-PBEsol) data for crystalline K3MgHg at its relaxed geometry, as listed in Alexandria.

Values from the calculation:
The value obtained for the total magnetic moment is 0.00 μB per formula unit. For the formation energy, the calculation gives 0.31 eV per atom.

a b c (Å): 6.8436 6.8436 6.8436
angles (deg): 90.00 90.00 90.00
Atoms (fractional coordinates):
K 0.5000 0.0000 0.0000
K 0.0000 0.5000 0.0000
K 0.0000 0.0000 0.5000
Hg 0.5000 0.5000 0.5000
Mg 0.0000 0.0000 0.0000

(4)
First-principles (GGA-PBEsol) data for crystalline KMgHg at its relaxed geometry, as listed in Alexandria.

Values from the calculation:
The value obtained for the total magnetic moment is 0.00 μB per formula unit. For the formation energy, the calculation gives 0.15 eV per atom. As for the offset from the most stable computed form: 25.3 kJ/mol of atoms.

a b c (Å): 5.2397 5.2397 5.2397
angles (deg): 60.00 60.00 60.00
Atoms (fractional coordinates):
K 0.5000 0.5000 0.5000
Hg 0.0000 0.0000 0.0000
Mg 0.2500 0.2500 0.2500

(5)
First-principles (GGA-PBEsol) data for crystalline KMg3Hg at its relaxed geometry, as listed in Alexandria.

Values from the calculation:
The value obtained for the total magnetic moment is 0.00 μB per formula unit. For the formation energy, the calculation gives 0.93 eV per atom.

a b c (Å): 6.4587 6.4587 6.4587
angles (deg): 90.00 90.00 90.00
Atoms (fractional coordinates):
Mg 0.0000 0.0000 0.5000
Mg 0.5000 0.0000 0.0000
Mg 0.0000 0.5000 0.0000
Hg 0.5000 0.5000 0.5000
K 0.0000 0.0000 0.0000

(6)
First-principles (GGA-PBEsol) data for crystalline KMg2Hg2 at its relaxed geometry, as listed in Alexandria.

Values from the calculation:
The value obtained for the total magnetic moment is 0.00 μB per formula unit. For the formation energy, the calculation gives -0.18 eV per atom. As for the offset from the most stable computed form: 1.3 kJ/mol of atoms.

a b c (Å): 3.2444 8.7682 8.7682
angles (deg): 90.00 90.00 90.00
Atoms (fractional coordinates):
Mg 0.5000 0.1346 0.6346
Mg 0.5000 0.3654 0.1346
Mg 0.5000 0.6346 0.8654
Mg 0.5000 0.8654 0.3654
Hg 0.0000 0.1567 0.3433
Hg 0.0000 0.8433 0.6567
Hg 0.0000 0.6567 0.1567
Hg 0.0000 0.3433 0.8433
K 0.0000 0.0000 0.0000
K 0.0000 0.5000 0.5000

(7)
First-principles (GGA-PBEsol) data for crystalline K2MgTcHg at its relaxed geometry, as listed in Alexandria.

Values from the calculation:
The value obtained for the total magnetic moment is 2.82 μB per formula unit. For the formation energy, the calculation gives 1.15 eV per atom.

a b c (Å): 5.0371 6.4490 6.4490
angles (deg): 90.00 90.00 90.00
Last column: magnetic moment on the atom in μB.
Atoms (fractional coordinates):
Tc 0.5000 0.0000 0.0000  2.55
Mg 0.0000 0.0000 0.0000  -0.02
Hg 0.5000 0.5000 0.5000  0.00
K 0.0000 0.0000 0.5000  -0.01
K 0.0000 0.5000 0.0000  -0.01

(8)
First-principles (GGA-PBEsol) data for crystalline KMgZr2Hg at its relaxed geometry, as listed in Alexandria.

Values from the calculation:
The value obtained for the total magnetic moment is 0.01 μB per formula unit. For the formation energy, the calculation gives 0.97 eV per atom.

a b c (Å): 5.3309 5.3309 5.8825
angles (deg): 90.00 90.00 90.00
Atoms (fractional coordinates):
Zr 0.5000 0.0000 0.0000
Zr 0.0000 0.5000 0.0000
Mg 0.5000 0.5000 0.5000
K 0.0000 0.0000 0.5000
Hg 0.0000 0.0000 0.0000

(9)
First-principles (GGA-PBEsol) data for crystalline K4MnHg at its relaxed geometry, as listed in Alexandria.

Values from the calculation:
The value obtained for the total magnetic moment is 4.41 μB per formula unit. For the formation energy, the calculation gives 0.71 eV per atom.

a b c (Å): 7.2995 7.2995 7.2995
angles (deg): 60.00 60.00 60.00
Last column: magnetic moment on the atom in μB.
Atoms (fractional coordinates):
K 0.3751 0.8748 0.3751  -0.01
K 0.3751 0.3751 0.8748  -0.01
K 0.3751 0.3751 0.3751  -0.01
K 0.8748 0.3751 0.3751  -0.01
Hg 0.0000 0.0000 0.0000  -0.01
Mn 0.7500 0.7500 0.7500  4.37

(10)
First-principles (GGA-PBEsol) data for crystalline KMnHg at its relaxed geometry, as listed in Alexandria.

Values from the calculation:
The value obtained for the total magnetic moment is 4.53 μB per formula unit. For the formation energy, the calculation gives 1.11 eV per atom. As for the offset from the most stable computed form: 31.2 kJ/mol of atoms.

a b c (Å): 5.2649 5.2649 5.2649
angles (deg): 60.00 60.00 60.00
Last column: magnetic moment on the atom in μB.
Atoms (fractional coordinates):
K 0.2500 0.2500 0.2500  0.00
Mn 0.0000 0.0000 0.0000  4.30
Hg 0.5000 0.5000 0.5000  -0.01

(11)
First-principles (GGA-PBEsol) data for crystalline KMnHg2 at its relaxed geometry, as listed in Alexandria.

Values from the calculation:
The value obtained for the total magnetic moment is 4.01 μB per formula unit. For the formation energy, the calculation gives 0.18 eV per atom.

a b c (Å): 3.4076 3.4076 8.0908
angles (deg): 90.00 90.00 90.00
Last column: magnetic moment on the atom in μB.
Atoms (fractional coordinates):
Hg 0.0000 0.0000 0.6882  0.00
Hg 0.0000 0.0000 0.3118  0.00
Mn 0.5000 0.5000 0.5000  3.88
K 0.5000 0.5000 0.0000  0.00

(12)
First-principles (GGA-PBEsol) data for crystalline KMn2Hg at its relaxed geometry, as listed in Alexandria.

Values from the calculation:
The value obtained for the total magnetic moment is 7.99 μB per formula unit. For the formation energy, the calculation gives 0.92 eV per atom.

a b c (Å): 3.1049 3.1049 10.5291
angles (deg): 81.52 81.52 60.00
Last column: magnetic moment on the atom in μB.
Atoms (fractional coordinates):
K 0.0000 0.0000 0.0000  -0.03
Mn 0.2372 0.2372 0.2885  3.86
Mn 0.7628 0.7628 0.7115  3.86
Hg 0.5000 0.5000 0.5000  -0.04

(13)
First-principles (GGA-PBEsol) data for crystalline KMnHg at its relaxed geometry, as listed in Alexandria.

Values from the calculation:
The value obtained for the total magnetic moment is 4.50 μB per formula unit. For the formation energy, the calculation gives 0.79 eV per atom. As for the offset from the most stable computed form: 0.0 kJ/mol of atoms.

a b c (Å): 5.0725 5.0725 5.0725
angles (deg): 60.00 60.00 60.00
Last column: magnetic moment on the atom in μB.
Atoms (fractional coordinates):
K 0.0000 0.0000 0.0000  -0.01
Mn 0.5000 0.5000 0.5000  4.22
Hg 0.2500 0.2500 0.2500  -0.01

(14)
First-principles (GGA-PBEsol) data for crystalline KMnReHg2 at its relaxed geometry, as listed in Alexandria.

Values from the calculation:
The value obtained for the total magnetic moment is 3.24 μB per formula unit. For the formation energy, the calculation gives 0.71 eV per atom.

a b c (Å): 4.5749 5.3220 5.3220
angles (deg): 90.00 90.00 90.00
Last column: magnetic moment on the atom in μB.
Atoms (fractional coordinates):
K 0.5000 0.5000 0.5000  0.01
Re 0.0000 0.0000 0.0000  -0.39
Hg 0.0000 0.0000 0.5000  0.01
Hg 0.0000 0.5000 0.0000  0.01
Mn 0.5000 0.0000 0.0000  3.26